Entry 1:
The following is a DFT calculation (PBE-GGA) of an optimized crystal structure of LaZrSe2.

Values from the calculation:
N(E_F) = 3.447 states/eV/cell
Formation energy from raw total energies = -356 kJ/mol of formula units

Lattice parameters (Å, degrees): 9.159 9.159 9.159 25.72 25.72 25.72
Element x y z (fractional)
La 0.000 0.000 0.000
Zr 0.500 0.500 0.500
Se 0.402 0.402 0.402
Se 0.598 0.598 0.598

***

Entry 2:
The following is a DFT calculation (PBE-GGA) of an optimized crystal structure of La2Ni.

Values from the calculation:
ΔE_f = -0.53 eV per formula unit
N(E_F) = 7.174 states/eV/cell

Lattice parameters (Å, degrees): 5.958 5.958 5.958 107.19 107.19 114.13
Element x y z (fractional)
La 0.184 0.684 0.868
La 0.316 0.184 0.500
La 0.684 0.816 0.500
La 0.816 0.316 0.132
Ni 0.250 0.250 0.000
Ni 0.750 0.750 0.000